BaLi2CdGa: optimized geometry, PBE-GGA.

Distance to the lowest polymorph of the same formula ... 66 meV per atom
DOS at the Fermi energy ... 3.41 states/eV/cell
Space group ... P4/mmm
E_form ... -0.08 eV per atom
Total energy ... -10.1 eV for the cell shown

abc: 5.254 5.254 5.224
angles: 90.00 90.00 90.00
Positions (direct):
Li 0.000 0.500 0.000
Li 0.500 0.000 0.000
Ba 0.500 0.500 0.500
Ga 0.000 0.000 0.500
Cd 0.000 0.000 0.000